Density functional theory data (PBE) for a geometry-optimized ZrInBr2 structure.

Cell lengths 5.9637, 5.9637, 3.4421 Å; angles 105.61, 105.61, 112.16 degrees
Fractional coordinates of all 4 atoms:
1 Zr 0.0000 0.0000 0.0000
2 In 0.5000 0.5000 0.0000
3 Br 0.0000 0.5000 0.0000
4 Br 0.5000 0.0000 0.0000

- DOS at the Fermi energy (states/eV/cell) = 2.3
- final energy (eV/cell) = -15.7
- energy above the lowest structure with this stoichiometry (meV/atom) = 485
- ρ (g/cm3) = 6.117
- E_form (uncorrected) (eV per atom) = -0.276